Below is an optimized crystal structure of TcSb2Au, with properties calculated at the GGA-PBEsol level.

- E (eV/atom) = -5.8442
- space group = Pmm2

Geometry as POSCAR:
```
TcSb2Au
1.0
3.420 0.000 0.000
0.000 4.086 0.000
0.000 0.000 5.586
Sb Au Tc
2 1 1
Cartesian
1.710 2.043 1.748
0.000 0.000 5.275
1.710 2.043 4.411
0.000 0.000 2.531
```



Below is an optimized crystal structure of Tb7MnI12, with properties calculated at the GGA-PBEsol level.

- E (eV/atom) = -4.4390
- space group = R-3

Geometry as POSCAR:
```
Tb7MnI12
1.0
-2.431 8.970 1.949
-0.452 -4.854 8.148
9.103 0.093 -2.700
I Tb Mn
12 7 1
Cartesian
0.312 4.593 7.205
-0.186 -1.223 5.793
2.964 1.434 6.636
6.406 5.432 1.605
0.103 2.336 3.662
6.117 1.872 3.735
0.415 5.761 1.314
5.908 -0.385 0.192
5.805 -1.553 6.083
2.949 -0.843 3.077
3.256 2.774 0.761
3.271 5.051 4.320
3.110 2.104 3.699
6.084 1.663 6.869
2.595 -0.207 0.026
6.354 4.790 4.863
-0.134 -0.582 2.534
3.625 4.415 7.371
0.136 2.545 0.528
0.000 0.000 0.000
```



no.,Fermi-level density of states (states/eV per cell)
1,3.0
2,8.5